The following is a DFT calculation (GGA-PBE) of a relaxed SnB3S crystal.

Geometry as POSCAR:
```
SnB3S
1.0
4.524 0.000 0.000
0.000 4.524 0.000
0.000 0.000 4.524
Sn B S
1 3 1
Direct
0.000 0.000 0.000
0.000 0.000 0.500
0.000 0.500 0.000
0.500 0.000 0.000
0.500 0.500 0.500
```

## Properties
Electronic total energy, eV/atom: -3.42
Magnetic moment, μB/f.u.: 0.00

***

The following is a DFT calculation (GGA-PBE) of a relaxed Mo2PRu crystal.

Geometry as POSCAR:
```
Mo2PRu
1.0
-1.840 1.840 4.202
1.840 -1.840 4.202
1.840 1.840 -4.202
Mo P Ru
2 1 1
Direct
0.250 0.750 0.500
0.750 0.250 0.500
0.000 0.000 0.000
0.500 0.500 0.000
```

## Properties
Electronic total energy, eV/atom: -9.13
ΔE_f, eV per atom: -0.047
Magnetic moment, μB/f.u.: 0.00

***

The following is a DFT calculation (GGA-PBE) of a relaxed CrOsN3 crystal.

Geometry as POSCAR:
```
CrOsN3
1.0
3.814 0.000 0.000
0.000 3.814 0.000
0.000 0.000 3.814
Cr Os N
1 1 3
Direct
0.000 0.000 0.000
0.500 0.500 0.500
0.000 0.500 0.500
0.500 0.000 0.500
0.500 0.500 0.000
```

## Properties
Electronic total energy, eV/atom: -7.75
Magnetic moment, μB/f.u.: 0.20

***

The following is a DFT calculation (GGA-PBE) of a relaxed LiPm3Np2N6 crystal.

Geometry as POSCAR:
```
LiPm3Np2N6
1.0
7.394 -1.775 0.000
7.394 1.775 0.000
-1.711 0.000 6.885
Li Pm Np N
1 3 2 6
Direct
0.000 0.000 0.000
0.000 0.000 0.500
0.341 0.341 0.155
0.659 0.659 0.845
0.335 0.335 0.674
0.665 0.665 0.326
0.170 0.170 0.104
0.176 0.176 0.578
0.482 0.482 0.728
0.518 0.518 0.272
0.824 0.824 0.422
0.830 0.830 0.896
```

## Properties
Electronic total energy, eV/atom: -8.84
Magnetic moment, μB/f.u.: 5.44

***

The following is a DFT calculation (GGA-PBE) of a relaxed Ti3Br7O crystal.

Geometry as POSCAR:
```
Ti3Br7O
1.0
7.193 0.000 0.000
-3.597 6.229 0.000
0.000 0.000 7.031
Ti Br O
3 7 1
Direct
0.044 0.522 0.000
0.478 0.522 0.000
0.478 0.956 0.000
0.168 0.337 0.237
0.168 0.832 0.237
0.334 0.167 0.799
0.663 0.832 0.237
0.667 0.333 0.209
0.833 0.167 0.799
0.833 0.666 0.799
0.333 0.667 0.886
```

## Properties
Electronic total energy, eV/atom: -5.07
Magnetic moment, μB/f.u.: 3.01

***

The following is a DFT calculation (GGA-PBE) of a relaxed Sr3LiRh crystal.

Geometry as POSCAR:
```
Sr3LiRh
1.0
5.032 0.000 0.000
-2.516 4.358 0.000
0.000 0.000 19.479
Sr Li Rh
6 2 2
Direct
0.000 0.000 0.250
0.000 0.000 0.750
0.333 0.667 0.102
0.333 0.667 0.398
0.667 0.333 0.602
0.667 0.333 0.898
0.000 0.000 0.000
0.000 0.000 0.500
0.333 0.667 0.250
0.667 0.333 0.750
```

## Properties
Electronic total energy, eV/atom: -2.72
ΔE_f, eV per atom: 0.141
Magnetic moment, μB/f.u.: 0.00

***

Q: Which value of magnetic moment does entry 1 give?
A: 0.00 μB/f.u.

***

Q: What is the formula in the sixth record?
A: Sr3LiRh

***

Q: Number 4 is which compound?
A: LiPm3Np2N6

***

What did the second record say?
The following is a DFT calculation (GGA-PBE) of a relaxed Mo2PRu crystal.

Geometry as POSCAR:
```
Mo2PRu
1.0
-1.840 1.840 4.202
1.840 -1.840 4.202
1.840 1.840 -4.202
Mo P Ru
2 1 1
Direct
0.250 0.750 0.500
0.750 0.250 0.500
0.000 0.000 0.000
0.500 0.500 0.000
```

## Properties
Electronic total energy, eV/atom: -9.13
ΔE_f, eV per atom: -0.047
Magnetic moment, μB/f.u.: 0.00